Compound: UCrHgO6
Source: Alexandria via LeMat-Bulk
Functional: GGA+U
Structure: optimized geometry

* total DFT energy (no corrections): -65.85 eV per formula unit
* SG: No. 163
* DOS at the Fermi energy: 0.3488 states/eV per atom

```
UCrHgO6
1.0
-4.461 1.229 2.806
1.118 -5.162 -1.179
4.990 -0.812 8.288
U Cr Hg O
2 2 2 12
Cartesian
-1.354 -1.104 3.550
3.001 -3.641 6.365
0.506 -3.235 2.221
1.141 -1.511 7.694
0.000 0.000 0.000
2.495 -0.406 4.144
-1.386 -2.660 2.172
1.054 -2.012 0.766
1.557 -0.136 6.333
0.593 -2.733 9.148
0.616 -1.768 3.544
2.451 -3.594 2.260
1.436 0.020 8.911
0.090 -4.609 3.581
-0.803 -1.151 7.655
0.212 -4.765 1.004
1.031 -2.977 6.371
3.033 -2.085 7.743
```